*i*
# Na2Tl2Sn3

Crystalline Na2Tl2Sn3 at its relaxed geometry (PBE, Alexandria). Values from VASP.

## Properties
Calculated density in g/cm³: 6.85
Symmetry: No. 65

```
&SYSTEM
  ibrav = 0, nat = 7, ntyp = 3
/
ATOMIC_SPECIES
Na 22.99 Na.upf
Tl 204.38 Tl.upf
Sn 118.71 Sn.upf
CELL_PARAMETERS angstrom
2.475 -11.585 0.000
2.475 11.585 0.000
0.000 0.000 3.426
ATOMIC_POSITIONS angstrom
Na 2.475 8.244 0.000
Na 2.475 -8.244 0.000
Tl 2.475 4.846 1.713
Tl 2.475 -4.846 1.713
Sn 0.000 0.000 0.000
Sn 2.475 1.561 1.713
Sn 2.475 -1.561 1.713
```

=====

*ii*
# Na2Tl2Sn3

Crystalline Na2Tl2Sn3 at its relaxed geometry (PBE, Alexandria). Values from VASP.

## Properties
Calculated density in g/cm³: 6.90
Symmetry: No. 12

```
&SYSTEM
  ibrav = 0, nat = 7, ntyp = 3
/
ATOMIC_SPECIES
Na 22.99 Na.upf
Tl 204.38 Tl.upf
Sn 118.71 Sn.upf
CELL_PARAMETERS angstrom
4.681 -2.702 0.000
4.681 2.702 0.000
-3.088 0.000 7.712
ATOMIC_POSITIONS angstrom
Na 1.570 0.000 1.150
Na 4.704 0.000 6.562
Tl -1.548 0.000 5.606
Tl 7.822 0.000 2.106
Sn 1.574 0.000 4.457
Sn 4.681 0.000 0.000
Sn 4.700 0.000 3.255
```

=====

Relative energy of each structure, in meV/atom: *i* 14; *ii* 0.

=====

*i*
# Na3TlSn

Crystalline Na3TlSn at its relaxed geometry (PBE, Alexandria). Values from VASP.

## Properties
Calculated density in g/cm³: 3.49
Symmetry: No. 221

```
&SYSTEM
  ibrav = 0, nat = 5, ntyp = 3
/
ATOMIC_SPECIES
Na 22.99 Na.upf
Tl 204.38 Tl.upf
Sn 118.71 Sn.upf
CELL_PARAMETERS angstrom
5.712 0.000 0.000
0.000 5.712 0.000
0.000 0.000 5.712
ATOMIC_POSITIONS angstrom
Na 0.000 0.000 2.856
Na 0.000 2.856 0.000
Na 2.856 0.000 0.000
Tl 0.000 0.000 0.000
Sn 2.856 2.856 2.856
```

=====

*ii*
# Na3TlSn

Crystalline Na3TlSn at its relaxed geometry (PBE, Alexandria). Values from VASP.

## Properties
Calculated density in g/cm³: 3.61
Symmetry: No. 119

```
&SYSTEM
  ibrav = 0, nat = 10, ntyp = 3
/
ATOMIC_SPECIES
Na 22.99 Na.upf
Tl 204.38 Tl.upf
Sn 118.71 Sn.upf
CELL_PARAMETERS angstrom
-2.855 2.855 11.072
2.855 -2.855 11.072
2.855 2.855 -11.072
ATOMIC_POSITIONS angstrom
Na 2.855 1.436 -2.732
Na 0.000 0.000 4.055
Na 1.436 2.855 2.732
Na 1.418 0.000 13.804
Na 0.000 1.418 8.339
Na 0.000 0.000 18.088
Tl 0.000 0.000 11.072
Tl 0.000 2.855 5.536
Sn 2.855 0.000 1.582
Sn 2.855 0.000 9.489
```

=====

*iii*
# Na3TlSn

Crystalline Na3TlSn at its relaxed geometry (PBE, Alexandria). Values from VASP.

## Properties
Calculated density in g/cm³: 3.20
Symmetry: No. 221

```
&SYSTEM
  ibrav = 0, nat = 5, ntyp = 3
/
ATOMIC_SPECIES
Na 22.99 Na.upf
Tl 204.38 Tl.upf
Sn 118.71 Sn.upf
CELL_PARAMETERS angstrom
5.879 0.000 0.000
0.000 5.879 0.000
0.000 0.000 5.879
ATOMIC_POSITIONS angstrom
Na 0.000 0.000 2.940
Na 0.000 2.940 0.000
Na 2.940 0.000 0.000
Tl 2.940 2.940 2.940
Sn 0.000 0.000 0.000
```

=====

*iv*
# Na3TlSn

Crystalline Na3TlSn at its relaxed geometry (PBE, Alexandria). Values from VASP.

## Properties
Calculated density in g/cm³: 4.62
Symmetry: No. 11

```
&SYSTEM
  ibrav = 0, nat = 10, ntyp = 3
/
ATOMIC_SPECIES
Na 22.99 Na.upf
Tl 204.38 Tl.upf
Sn 118.71 Sn.upf
CELL_PARAMETERS angstrom
7.369 0.000 0.000
0.000 4.698 0.000
-0.133 0.000 8.143
ATOMIC_POSITIONS angstrom
Na 0.359 1.175 2.801
Na 1.790 1.175 6.124
Na 3.219 1.175 1.320
Na 4.016 3.524 6.823
Na 5.445 3.524 2.019
Na 6.877 3.524 5.342
Tl 1.102 3.524 0.298
Tl 6.133 1.175 7.845
Sn 2.618 3.524 3.820
Sn 4.618 1.175 4.323
```

=====

Relative energy of each structure, in meV/atom: *i* 454; *ii* 322; *iii* 263; *iv* 0.

=====

*i*
# Na7Tl2Sn2

Crystalline Na7Tl2Sn2 at its relaxed geometry (PBE, Alexandria). Values from VASP.

## Properties
Calculated density in g/cm³: 4.08
Symmetry: No. 12

```
&SYSTEM
  ibrav = 0, nat = 11, ntyp = 3
/
ATOMIC_SPECIES
Na 22.99 Na.upf
Tl 204.38 Tl.upf
Sn 118.71 Sn.upf
CELL_PARAMETERS angstrom
4.240 -4.880 0.000
4.240 4.880 0.000
-1.691 0.000 7.943
ATOMIC_POSITIONS angstrom
Na 0.000 0.000 0.000
Na 1.094 1.949 6.444
Na 0.760 0.000 3.485
Na 1.094 -1.949 6.444
Na 5.695 1.949 1.499
Na 6.029 0.000 4.458
Na 5.695 -1.949 1.499
Tl 3.395 1.918 3.972
Tl 3.395 -1.918 3.972
Sn 3.080 0.000 1.148
Sn 3.709 0.000 6.795
```

=====

*ii*
# Na7Tl2Sn2

Crystalline Na7Tl2Sn2 at its relaxed geometry (PBE, Alexandria). Values from VASP.

## Properties
Calculated density in g/cm³: 4.15
Symmetry: No. 12

```
&SYSTEM
  ibrav = 0, nat = 11, ntyp = 3
/
ATOMIC_SPECIES
Na 22.99 Na.upf
Tl 204.38 Tl.upf
Sn 118.71 Sn.upf
CELL_PARAMETERS angstrom
6.036 -5.062 0.000
6.036 5.062 0.000
-2.282 0.000 5.287
ATOMIC_POSITIONS angstrom
Na 0.000 0.000 0.000
Na 2.237 1.832 1.252
Na 2.237 -1.832 1.252
Na 5.473 0.000 1.282
Na 4.319 0.000 4.005
Na 7.555 1.832 4.035
Na 7.555 -1.832 4.035
Tl 4.896 3.108 2.643
Tl 4.896 -3.108 2.643
Sn 0.994 0.000 3.918
Sn 8.797 0.000 1.369
```

=====

Relative energy of each structure, in meV/atom: *i* 0; *ii* 12.

=====

*i*
# Na3Tl6Sn

Crystalline Na3Tl6Sn at its relaxed geometry (PBE, Alexandria). Values from VASP.

## Properties
Calculated density in g/cm³: 7.65
Symmetry: No. 36

```
&SYSTEM
  ibrav = 0, nat = 20, ntyp = 3
/
ATOMIC_SPECIES
Na 22.99 Na.upf
Tl 204.38 Tl.upf
Sn 118.71 Sn.upf
CELL_PARAMETERS angstrom
4.991 -8.080 0.000
4.991 8.080 0.000
0.000 0.000 7.615
ATOMIC_POSITIONS angstrom
Na 4.991 5.513 3.807
Na 3.205 2.288 6.319
Na 3.205 -2.288 2.512
Na 6.778 2.288 6.319
Na 6.778 -2.288 2.512
Na 4.991 -5.513 0.000
Tl 2.561 2.747 1.917
Tl 1.768 0.331 3.979
Tl 1.768 -0.331 0.172
Tl 4.991 4.802 0.497
Tl 2.561 -2.747 5.724
Tl 4.991 0.575 1.142
Tl 4.991 -0.575 4.950
Tl 7.422 2.747 1.917
Tl 4.991 -4.802 4.305
Tl 8.215 0.331 3.979
Tl 8.215 -0.331 0.172
Tl 7.422 -2.747 5.724
Sn 4.991 2.290 3.766
Sn 4.991 -2.290 7.573
```

=====

*ii*
# Na3Tl6Sn

Crystalline Na3Tl6Sn at its relaxed geometry (PBE, Alexandria). Values from VASP.

## Properties
Calculated density in g/cm³: 8.15
Symmetry: No. 11

```
&SYSTEM
  ibrav = 0, nat = 20, ntyp = 3
/
ATOMIC_SPECIES
Na 22.99 Na.upf
Tl 204.38 Tl.upf
Sn 118.71 Sn.upf
CELL_PARAMETERS angstrom
9.260 0.000 0.000
0.000 5.543 0.000
-4.075 0.000 11.222
ATOMIC_POSITIONS angstrom
Na -0.109 1.386 2.563
Na 2.654 1.386 0.305
Na 1.399 4.157 4.185
Na 3.786 1.386 7.037
Na 2.531 4.157 10.916
Na 5.295 4.157 8.658
Tl -2.190 1.386 8.163
Tl 0.653 4.157 0.762
Tl 0.533 1.386 5.921
Tl -0.732 4.157 9.678
Tl 1.222 1.386 9.339
Tl 3.277 1.386 3.694
Tl 1.909 4.157 7.527
Tl 3.963 4.157 1.883
Tl 5.917 1.386 1.544
Tl 4.653 4.157 5.300
Tl 4.533 1.386 10.460
Tl 7.375 4.157 3.058
Sn -1.415 4.157 6.307
Sn 6.601 1.386 4.914
```

=====

Relative energy of each structure, in meV/atom: *i* 60; *ii* 0.

=====

*i*
# Na3Tl2Sn

Crystalline Na3Tl2Sn at its relaxed geometry (PBE, Alexandria). Values from VASP.

## Properties
Calculated density in g/cm³: 5.41
Symmetry: No. 71

```
&SYSTEM
  ibrav = 0, nat = 6, ntyp = 3
/
ATOMIC_SPECIES
Na 22.99 Na.upf
Tl 204.38 Tl.upf
Sn 118.71 Sn.upf
CELL_PARAMETERS angstrom
-1.669 3.184 8.610
1.669 -3.184 8.610
1.669 3.184 -8.610
ATOMIC_POSITIONS angstrom
Na 0.000 0.000 0.000
Na 0.000 0.000 5.847
Na 0.000 0.000 11.374
Tl 1.669 0.000 2.941
Tl 0.000 3.184 5.670
Sn 0.000 3.184 0.000
```

=====

*ii*
# Na3Tl2Sn

Crystalline Na3Tl2Sn at its relaxed geometry (PBE, Alexandria). Values from VASP.

## Properties
Calculated density in g/cm³: 5.89
Symmetry: No. 11

```
&SYSTEM
  ibrav = 0, nat = 12, ntyp = 3
/
ATOMIC_SPECIES
Na 22.99 Na.upf
Tl 204.38 Tl.upf
Sn 118.71 Sn.upf
CELL_PARAMETERS angstrom
6.792 0.000 0.000
0.000 5.531 0.000
-1.831 0.000 8.946
ATOMIC_POSITIONS angstrom
Na -0.030 1.383 1.046
Na 0.015 1.383 6.909
Na 1.678 1.383 3.945
Na 3.283 4.148 5.001
Na 4.946 4.148 2.037
Na 4.991 4.148 7.901
Tl -0.033 4.148 4.774
Tl 1.550 4.148 7.835
Tl 3.411 1.383 1.111
Tl 4.994 1.383 4.172
Sn 1.592 4.148 1.916
Sn 3.369 1.383 7.030
```

=====

Relative energy of each structure, in meV/atom: *i* 117; *ii* 0.

=====

*i*
# Na4Tl5Sn

Crystalline Na4Tl5Sn at its relaxed geometry (PBE, Alexandria). Values from VASP.

## Properties
Calculated density in g/cm³: 6.34
Symmetry: No. 12

```
&SYSTEM
  ibrav = 0, nat = 10, ntyp = 3
/
ATOMIC_SPECIES
Na 22.99 Na.upf
Tl 204.38 Tl.upf
Sn 118.71 Sn.upf
CELL_PARAMETERS angstrom
7.904 -2.382 0.000
7.904 2.382 0.000
-7.529 0.000 8.570
ATOMIC_POSITIONS angstrom
Na 0.556 0.000 2.795
Na -2.622 0.000 7.190
Na 10.901 0.000 1.379
Na 7.723 0.000 5.775
Tl -3.765 0.000 4.285
Tl -5.596 0.000 8.113
Tl 2.447 0.000 5.760
Tl 5.832 0.000 2.810
Tl 13.875 0.000 0.457
Sn 7.904 0.000 0.000
```

=====

*ii*
# Na4Tl5Sn

Crystalline Na4Tl5Sn at its relaxed geometry (PBE, Alexandria). Values from VASP.

## Properties
Calculated density in g/cm³: 7.19
Symmetry: No. 123

```
&SYSTEM
  ibrav = 0, nat = 10, ntyp = 3
/
ATOMIC_SPECIES
Na 22.99 Na.upf
Tl 204.38 Tl.upf
Sn 118.71 Sn.upf
CELL_PARAMETERS angstrom
3.991 0.000 0.000
0.000 3.991 0.000
0.000 0.000 17.873
ATOMIC_POSITIONS angstrom
Na 0.000 0.000 1.780
Na 0.000 0.000 5.401
Na 0.000 0.000 12.472
Na 0.000 0.000 16.093
Tl 1.995 1.995 0.000
Tl 1.995 1.995 3.558
Tl 1.995 1.995 7.207
Tl 1.995 1.995 10.665
Tl 1.995 1.995 14.315
Sn 0.000 0.000 8.936
```

=====

Relative energy of each structure, in meV/atom: *i* 56; *ii* 0.

=====

*i*
# Na8Tl3Sn2

Crystalline Na8Tl3Sn2 at its relaxed geometry (PBE, Alexandria). Values from VASP.

## Properties
Calculated density in g/cm³: 4.12
Symmetry: No. 12

```
&SYSTEM
  ibrav = 0, nat = 13, ntyp = 3
/
ATOMIC_SPECIES
Na 22.99 Na.upf
Tl 204.38 Tl.upf
Sn 118.71 Sn.upf
CELL_PARAMETERS angstrom
7.086 -4.609 0.000
7.086 4.609 0.000
-1.089 0.000 6.390
ATOMIC_POSITIONS angstrom
Na 5.213 2.808 0.323
Na 0.957 0.000 2.434
Na 3.584 0.000 4.442
Na 7.869 2.808 6.067
Na 5.213 -2.808 0.323
Na 9.499 0.000 1.948
Na 12.125 0.000 3.956
Na 7.869 -2.808 6.067
Tl 6.541 1.649 3.195
Tl 7.086 0.000 0.000
Tl 6.541 -1.649 3.195
Sn 4.111 0.000 1.376
Sn 8.971 0.000 5.014
```

=====

*ii*
# Na8Tl3Sn2

Crystalline Na8Tl3Sn2 at its relaxed geometry (PBE, Alexandria). Values from VASP.

## Properties
Calculated density in g/cm³: 4.14
Symmetry: No. 65

```
&SYSTEM
  ibrav = 0, nat = 13, ntyp = 3
/
ATOMIC_SPECIES
Na 22.99 Na.upf
Tl 204.38 Tl.upf
Sn 118.71 Sn.upf
CELL_PARAMETERS angstrom
4.603 -7.840 0.000
4.603 7.840 0.000
0.000 0.000 5.747
ATOMIC_POSITIONS angstrom
Na 4.603 6.190 0.000
Na 2.871 1.893 2.874
Na 4.603 3.077 0.000
Na 2.871 -1.893 2.874
Na 6.336 1.893 2.874
Na 4.603 -3.077 0.000
Na 6.336 -1.893 2.874
Na 4.603 -6.190 0.000
Tl 0.000 0.000 2.874
Tl 3.074 0.000 0.000
Tl 6.132 0.000 0.000
Sn 4.603 4.727 2.874
Sn 4.603 -4.727 2.874
```

=====

Relative energy of each structure, in meV/atom: *i* 0; *ii* 11.

=====

*i*
# Na4TlSn

Crystalline Na4TlSn at its relaxed geometry (PBE, Alexandria). Values from VASP.

## Properties
Calculated density in g/cm³: 3.99
Symmetry: No. 15

```
&SYSTEM
  ibrav = 0, nat = 12, ntyp = 3
/
ATOMIC_SPECIES
Na 22.99 Na.upf
Tl 204.38 Tl.upf
Sn 118.71 Sn.upf
CELL_PARAMETERS angstrom
11.348 -2.860 0.000
11.348 2.860 0.000
-1.311 0.000 5.318
ATOMIC_POSITIONS angstrom
Na 7.391 1.304 0.425
Na 8.661 1.707 3.564
Na 12.068 1.707 4.413
Na 14.650 1.304 2.233
Na 6.735 -1.304 3.084
Na 9.317 -1.707 0.905
Na 12.723 -1.707 1.754
Na 13.994 -1.304 4.892
Tl 5.018 1.430 2.659
Tl 5.674 -1.430 0.000
Sn 11.020 1.003 1.329
Sn 10.365 -1.003 3.988
```

=====

*ii*
# Na4TlSn

Crystalline Na4TlSn at its relaxed geometry (PBE, Alexandria). Values from VASP.

## Properties
Calculated density in g/cm³: 3.92
Symmetry: No. 216

```
&SYSTEM
  ibrav = 0, nat = 6, ntyp = 3
/
ATOMIC_SPECIES
Na 22.99 Na.upf
Tl 204.38 Tl.upf
Sn 118.71 Sn.upf
CELL_PARAMETERS angstrom
0.000 4.445 4.445
4.445 0.000 4.445
4.445 4.445 0.000
ATOMIC_POSITIONS angstrom
Na 3.338 3.338 3.338
Na 5.551 5.551 3.338
Na 5.551 3.338 5.551
Na 3.338 5.551 5.551
Tl 0.000 0.000 0.000
Sn 6.667 6.667 6.667
```

=====

Relative energy of each structure, in meV/atom: *i* 0; *ii* 140.

=====

*i*
# Na8Tl6Sn

Crystalline Na8Tl6Sn at its relaxed geometry (PBE, Alexandria). Values from VASP.

## Properties
Calculated density in g/cm³: 5.58
Symmetry: No. 148

```
&SYSTEM
  ibrav = 0, nat = 15, ntyp = 3
/
ATOMIC_SPECIES
Na 22.99 Na.upf
Tl 204.38 Tl.upf
Sn 118.71 Sn.upf
CELL_PARAMETERS angstrom
4.437 2.562 6.669
-4.437 2.562 6.669
0.000 -5.124 6.669
ATOMIC_POSITIONS angstrom
Na 0.000 0.000 1.859
Na -2.121 0.311 7.476
Na 0.791 -1.992 7.476
Na -1.329 -1.681 12.531
Na 1.329 1.681 7.476
Na -0.791 1.992 12.531
Na 2.121 -0.311 12.531
Na 0.000 0.000 18.149
Tl -2.099 -2.466 9.159
Tl -3.185 0.585 10.849
Tl 1.086 -3.051 10.849
Tl -1.086 3.051 9.158
Tl 3.185 -0.585 9.158
Tl 2.099 2.466 10.849
Sn 0.000 0.000 10.004
```

=====

*ii*
# Na8Tl6Sn

Crystalline Na8Tl6Sn at its relaxed geometry (PBE, Alexandria). Values from VASP.

## Properties
Calculated density in g/cm³: 5.25
Symmetry: No. 148

```
&SYSTEM
  ibrav = 0, nat = 15, ntyp = 3
/
ATOMIC_SPECIES
Na 22.99 Na.upf
Tl 204.38 Tl.upf
Sn 118.71 Sn.upf
CELL_PARAMETERS angstrom
4.586 2.648 6.633
-4.586 2.648 6.633
0.000 -5.295 6.633
ATOMIC_POSITIONS angstrom
Na -3.013 -0.001 7.615
Na 0.000 0.000 3.334
Na -1.506 -2.610 12.283
Na 1.507 -2.609 7.615
Na -1.507 2.609 12.283
Na 1.506 2.610 7.615
Na 0.000 0.000 16.565
Na 3.013 0.001 12.283
Tl -1.488 -2.587 8.974
Tl -2.985 -0.005 10.924
Tl -1.497 2.582 8.974
Tl 1.497 -2.582 10.924
Tl 2.985 0.005 8.974
Tl 1.488 2.587 10.924
Sn 0.000 0.000 9.949
```

=====

Relative energy of each structure, in meV/atom: *i* 0; *ii* 6.

=====

*i*
# Na3Tl2Sn4

Crystalline Na3Tl2Sn4 at its relaxed geometry (PBE, Alexandria). Values from VASP.

## Properties
Calculated density in g/cm³: 6.29
Symmetry: No. 12

```
&SYSTEM
  ibrav = 0, nat = 9, ntyp = 3
/
ATOMIC_SPECIES
Na 22.99 Na.upf
Tl 204.38 Tl.upf
Sn 118.71 Sn.upf
CELL_PARAMETERS angstrom
7.570 -1.751 0.000
7.570 1.751 0.000
-2.735 0.000 9.481
ATOMIC_POSITIONS angstrom
Na 0.000 0.000 0.000
Na 3.935 0.000 4.248
Na 8.469 0.000 5.234
Tl 2.852 0.000 7.352
Tl 9.553 0.000 2.129
Sn -1.763 0.000 6.339
Sn 4.822 0.000 1.088
Sn 7.582 0.000 8.393
Sn 14.167 0.000 3.142
```

=====

*ii*
# Na3Tl2Sn4

Crystalline Na3Tl2Sn4 at its relaxed geometry (PBE, Alexandria). Values from VASP.

## Properties
Calculated density in g/cm³: 6.12
Symmetry: No. 2

```
&SYSTEM
  ibrav = 0, nat = 9, ntyp = 3
/
ATOMIC_SPECIES
Na 22.99 Na.upf
Tl 204.38 Tl.upf
Sn 118.71 Sn.upf
CELL_PARAMETERS angstrom
5.418 0.000 0.000
2.677 5.611 0.000
2.671 -0.956 8.498
ATOMIC_POSITIONS angstrom
Na 0.000 0.000 0.000
Na 2.650 0.905 5.457
Na 8.117 3.749 3.041
Tl 5.342 3.013 5.686
Tl 5.425 1.641 2.812
Sn 5.365 1.094 8.462
Sn 2.727 0.013 2.269
Sn 8.040 4.641 6.229
Sn 5.402 3.561 0.035
```

=====

Relative energy of each structure, in meV/atom: *i* 63; *ii* 0.